{
  "formula": "CuSiSe2",
  "functional": "PBE",
  "state": "optimized geometry",
  "energy_ev_per_atom": -4.12,
  "m_tot_mub_per_fu": 0.0,
  "e_form_raw_ev_per_atom": 0.007,
  "lattice_angstrom": [[3.384, 0.000, 0.000], [-1.692, 2.930, 0.000], [0.000, 0.000, 26.287]],
  "species": ["Cu", "Cu", "Cu", "Si", "Si", "Si", "Se", "Se", "Se", "Se", "Se", "Se"],
  "frac_coords": [[0.000, 0.000, 0.000], [0.333, 0.667, 0.667], [0.667, 0.333, 0.333], [0.000, 0.000, 0.269], [0.333, 0.667, 0.935], [0.667, 0.333, 0.602], [0.000, 0.000, 0.546], [0.000, 0.000, 0.723], [0.333, 0.667, 0.213], [0.333, 0.667, 0.390], [0.667, 0.333, 0.057], [0.667, 0.333, 0.879]]
}

---

{
  "formula": "Er8Ga2Ni",
  "functional": "PBE",
  "state": "optimized geometry",
  "energy_ev_per_atom": -4.67,
  "m_tot_mub_per_fu": 0.0,
  "lattice_angstrom": [[9.015, -2.441, 0.000], [9.015, 2.441, 0.000], [-1.282, 0.000, 6.379]],
  "species": ["Er", "Er", "Er", "Er", "Er", "Er", "Er", "Er", "Ga", "Ga", "Ni"],
  "frac_coords": [[0.022, 0.022, 0.278], [0.210, 0.210, 0.816], [0.350, 0.350, 0.520], [0.409, 0.409, 0.043], [0.591, 0.591, 0.957], [0.650, 0.650, 0.480], [0.790, 0.790, 0.184], [0.978, 0.978, 0.722], [0.189, 0.189, 0.258], [0.811, 0.811, 0.742], [0.500, 0.500, 0.500]]
}

---

{
  "formula": "Ba2SrIr",
  "functional": "PBE",
  "state": "optimized geometry",
  "energy_ev_per_atom": -3.77,
  "m_tot_mub_per_fu": 0.0,
  "polymorph_energy_mev_per_atom": 0.0,
  "lattice_angstrom": [[4.584, 0.000, 0.000], [0.000, 13.573, 0.000], [0.000, 0.000, 6.032]],
  "species": ["Ba", "Ba", "Ba", "Ba", "Sr", "Sr", "Ir", "Ir"],
  "frac_coords": [[0.000, 0.150, 0.000], [0.000, 0.850, 0.000], [0.500, 0.350, 0.500], [0.500, 0.650, 0.500], [0.000, 0.500, 0.999], [0.500, 0.000, 0.499], [0.000, 0.500, 0.501], [0.500, 0.000, 0.001]]
}

---

{
  "formula": "Li12Cu3Ni5",
  "functional": "PBE",
  "state": "optimized geometry",
  "energy_ev_per_atom": -2.60,
  "m_tot_mub_per_fu": 1.5,
  "lattice_angstrom": [[-7.034, 7.034, 7.034], [7.034, -7.034, 7.034], [7.034, 7.034, -7.034]],
  "species": ["Li", "Li", "Li", "Li", "Li", "Li", "Li", "Li", "Li", "Li", "Li", "Li", "Li", "Li", "Li", "Li", "Li", "Li", "Li", "Li", "Li", "Li", "Li", "Li", "Li", "Li", "Li", "Li", "Li", "Li", "Li", "Li", "Li", "Li", "Li", "Li", "Li", "Li", "Li", "Li", "Li", "Li", "Li", "Li", "Li", "Li", "Li", "Li", "Cu", "Cu", "Cu", "Cu", "Cu", "Cu", "Cu", "Cu", "Cu", "Cu", "Cu", "Cu", "Ni", "Ni", "Ni", "Ni", "Ni", "Ni", "Ni", "Ni", "Ni", "Ni", "Ni", "Ni", "Ni", "Ni", "Ni", "Ni", "Ni", "Ni", "Ni", "Ni"],
  "frac_coords": [[0.054, 0.226, 0.124], [0.054, 0.328, 0.930], [0.070, 0.624, 0.398], [0.070, 0.946, 0.672], [0.102, 0.726, 0.672], [0.102, 0.876, 0.430], [0.124, 0.054, 0.226], [0.124, 0.570, 0.898], [0.172, 0.226, 0.602], [0.172, 0.446, 0.570], [0.226, 0.124, 0.054], [0.226, 0.602, 0.172], [0.274, 0.328, 0.898], [0.274, 0.446, 0.376], [0.328, 0.898, 0.274], [0.328, 0.930, 0.054], [0.376, 0.274, 0.446], [0.376, 0.602, 0.930], [0.398, 0.070, 0.624], [0.398, 0.828, 0.774], [0.430, 0.102, 0.876], [0.430, 0.828, 0.554], [0.446, 0.376, 0.274], [0.446, 0.570, 0.172], [0.554, 0.430, 0.828], [0.554, 0.624, 0.726], [0.570, 0.172, 0.446], [0.570, 0.898, 0.124], [0.602, 0.172, 0.226], [0.602, 0.930, 0.376], [0.624, 0.398, 0.070], [0.624, 0.726, 0.554], [0.672, 0.070, 0.946], [0.672, 0.102, 0.726], [0.726, 0.554, 0.624], [0.726, 0.672, 0.102], [0.774, 0.398, 0.828], [0.774, 0.876, 0.946], [0.828, 0.554, 0.430], [0.828, 0.774, 0.398], [0.876, 0.430, 0.102], [0.876, 0.946, 0.774], [0.898, 0.124, 0.570], [0.898, 0.274, 0.328], [0.930, 0.054, 0.328], [0.930, 0.376, 0.602], [0.946, 0.672, 0.070], [0.946, 0.774, 0.876], [0.125, 0.250, 0.375], [0.125, 0.375, 0.750], [0.250, 0.375, 0.125], [0.250, 0.875, 0.625], [0.375, 0.125, 0.250], [0.375, 0.750, 0.125], [0.625, 0.250, 0.875], [0.625, 0.875, 0.750], [0.750, 0.125, 0.375], [0.750, 0.625, 0.875], [0.875, 0.625, 0.250], [0.875, 0.750, 0.625], [0.000, 0.000, 0.000], [0.000, 0.000, 0.500], [0.000, 0.500, 0.000], [0.000, 0.500, 0.500], [0.125, 0.750, 0.875], [0.125, 0.875, 0.250], [0.250, 0.125, 0.875], [0.250, 0.625, 0.375], [0.375, 0.250, 0.625], [0.375, 0.625, 0.750], [0.500, 0.000, 0.000], [0.500, 0.000, 0.500], [0.500, 0.500, 0.000], [0.500, 0.500, 0.500], [0.625, 0.375, 0.250], [0.625, 0.750, 0.375], [0.750, 0.375, 0.625], [0.750, 0.875, 0.125], [0.875, 0.125, 0.750], [0.875, 0.250, 0.125]]
}

---

{
  "formula": "Ac2La2Ir2Au",
  "functional": "PBE",
  "state": "optimized geometry",
  "energy_ev_per_atom": -6.23,
  "m_tot_mub_per_fu": 0.0,
  "lattice_angstrom": [[4.089, 0.000, 0.000], [2.028, 7.271, 0.000], [2.032, 3.146, 7.665]],
  "species": ["Ac", "Ac", "La", "La", "Ir", "Ir", "Au"],
  "frac_coords": [[0.025, 0.184, 0.265], [0.975, 0.816, 0.735], [0.271, 0.650, 0.308], [0.729, 0.350, 0.692], [0.383, 0.202, 0.531], [0.617, 0.798, 0.469], [0.500, 0.500, 0.000]]
}

---

{
  "formula": "LaHg3Pt8",
  "functional": "PBE",
  "state": "optimized geometry",
  "energy_ev_per_atom": -4.84,
  "m_tot_mub_per_fu": 0.0,
  "lattice_angstrom": [[2.717, 1.569, 8.879], [-2.717, 1.569, 8.879], [0.000, -3.138, 8.879]],
  "species": ["La", "Hg", "Hg", "Hg", "Pt", "Pt", "Pt", "Pt", "Pt", "Pt", "Pt", "Pt"],
  "frac_coords": [[0.000, 0.000, 0.000], [0.128, 0.128, 0.128], [0.495, 0.495, 0.495], [0.615, 0.615, 0.615], [0.062, 0.062, 0.559], [0.062, 0.559, 0.062], [0.062, 0.563, 0.563], [0.312, 0.312, 0.312], [0.559, 0.062, 0.062], [0.563, 0.062, 0.563], [0.563, 0.563, 0.062], [0.812, 0.812, 0.812]]
}

---

{
  "formula": "LaFeCl2",
  "functional": "PBE",
  "state": "optimized geometry",
  "energy_ev_per_atom": -4.91,
  "m_tot_mub_per_fu": 2.9,
  "e_form_raw_ev_per_atom": -0.644,
  "polymorph_energy_mev_per_atom": 280.9,
  "lattice_angstrom": [[3.970, 0.000, 0.000], [0.000, 4.604, 0.000], [-0.131, 0.000, 5.269]],
  "species": ["La", "Fe", "Cl", "Cl"],
  "frac_coords": [[0.000, 0.000, 0.000], [0.500, 0.000, 0.500], [0.275, 0.500, 0.260], [0.725, 0.500, 0.740]]
}

---

{
  "formula": "YHRh3",
  "functional": "PBE",
  "state": "optimized geometry",
  "energy_ev_per_atom": -6.63,
  "m_tot_mub_per_fu": 0.0,
  "polymorph_energy_mev_per_atom": 236.4,
  "lattice_angstrom": [[6.299, -4.373, 0.000], [6.299, 4.373, 0.000], [-1.306, 0.000, 5.478]],
  "species": ["Y", "Y", "Y", "Y", "H", "H", "H", "H", "Rh", "Rh", "Rh", "Rh", "Rh", "Rh", "Rh", "Rh", "Rh", "Rh", "Rh", "Rh"],
  "frac_coords": [[0.020, 0.291, 0.313], [0.291, 0.020, 0.813], [0.709, 0.980, 0.187], [0.980, 0.709, 0.687], [0.242, 0.758, 0.750], [0.480, 0.520, 0.750], [0.520, 0.480, 0.250], [0.758, 0.242, 0.250], [0.021, 0.641, 0.175], [0.331, 0.333, 0.652], [0.333, 0.331, 0.152], [0.337, 0.659, 0.482], [0.341, 0.663, 0.018], [0.359, 0.979, 0.325], [0.641, 0.021, 0.675], [0.659, 0.337, 0.982], [0.663, 0.341, 0.518], [0.667, 0.669, 0.848], [0.669, 0.667, 0.348], [0.979, 0.359, 0.825]]
}